This record from Alexandria describes MnH3W after structural relaxation. The functional is PBE-GGA.

Unit cell a=3.511 b=3.511 c=3.511 alpha=90.00 beta=90.00 gamma=90.00
Each line ends with the local moment (μB).
Positions (direct):
H: 0.000 0.500 0.000  0.01
H: 0.000 0.000 0.500  0.02
H: 0.500 0.000 0.000  0.02
Mn: 0.500 0.500 0.500  3.96
W: 0.000 0.000 0.000  -0.22

Properties
DOS(E_F)	0.246	states/eV per atom
energy	-30.0	eV/f.u.
symmetry	Pm-3m, No. 221
calculated density	9276	kg/m3